K3NiMo2O8 after structural relaxation, computed with GGA+U.

For the electronic total energy, the calculation gives -5.86 eV/atom.

Unit cell a=5.8811 b=5.8811 c=7.5980 alpha=90.00 beta=90.00 gamma=120.00
Space group P-3m1 (No. 164)
Unique sites:
K: 0.0000 0.0000 0.0000
K: 0.3333 0.6667 0.6657
Ni: 0.0000 0.0000 0.5000
Mo: 0.3333 0.6667 0.2390
O: 0.1653 0.3305 0.3303
O: 0.3333 0.6667 0.0033